(one)
PmSc2Co (PBE, optimized geometry); Fermi-level density of states = 5.4 states/eV/f.u.; ρ = 5.40 g/cm³
1.0
1.738 -5.881 0.000
1.738 5.881 0.000
0.000 0.000 8.844
Pm Sc Co
2 4 2
direct
0.072 0.928 0.750 Pm
0.928 0.072 0.250 Pm
0.353 0.647 0.571 Sc
0.353 0.647 0.929 Sc
0.647 0.353 0.071 Sc
0.647 0.353 0.429 Sc
0.242 0.758 0.250 Co
0.758 0.242 0.750 Co

(two)
PmSc2Co (PBE, optimized geometry); Fermi-level density of states = 4.7 states/eV/f.u.; ρ = 5.08 g/cm³
1.0
1.784 1.030 8.709
-1.784 1.030 8.709
0.000 -2.060 8.709
Pm Sc Co
1 2 1
direct
0.000 0.000 0.000 Pm
0.221 0.221 0.221 Sc
0.779 0.779 0.779 Sc
0.500 0.500 0.500 Co

(three)
PmSc2Co (PBE, optimized geometry); Fermi-level density of states = 4.0 states/eV/f.u.; ρ = 5.06 g/cm³
1.0
1.845 1.065 8.180
-1.845 1.065 8.180
0.000 -2.131 8.180
Pm Sc Co
1 2 1
direct
0.000 0.000 0.000 Pm
0.552 0.552 0.552 Sc
0.778 0.778 0.778 Sc
0.166 0.166 0.166 Co

The least stable of them is (two).

(one)
PmCo2Si (PBE, optimized geometry); Fermi-level density of states = 3.7 states/eV/f.u.; ρ = 7.25 g/cm³
1.0
3.831 0.000 0.000
0.000 3.831 0.000
0.000 0.000 9.074
Pm Co Si
2 4 2
direct
0.250 0.250 0.209 Pm
0.750 0.750 0.791 Pm
0.250 0.250 0.892 Co
0.250 0.750 0.500 Co
0.750 0.250 0.500 Co
0.750 0.750 0.108 Co
0.250 0.250 0.637 Si
0.750 0.750 0.363 Si

(two)
PmCo2Si (PBE, optimized geometry); Fermi-level density of states = 5.0 states/eV/f.u.; ρ = 7.22 g/cm³
1.0
1.986 1.147 4.898
-1.986 1.147 4.898
0.000 -2.293 4.898
Pm Co Si
1 2 1
direct
0.000 0.000 0.000 Pm
0.195 0.195 0.195 Co
0.805 0.805 0.805 Co
0.500 0.500 0.500 Si

The least stable of them is (one).

(one)
PmCo4Si2 (PBE, optimized geometry); Fermi-level density of states = 6.5 states/eV/f.u.; ρ = 7.14 g/cm³
1.0
-1.733 1.733 8.454
1.733 -1.733 8.454
1.733 1.733 -8.454
Pm Co Si
1 4 2
direct
0.000 0.000 0.000 Pm
0.149 0.149 0.000 Co
0.250 0.750 0.500 Co
0.750 0.250 0.500 Co
0.851 0.851 0.000 Co
0.351 0.351 0.000 Si
0.649 0.649 0.000 Si

(two)
PmCo4Si2 (PBE, optimized geometry); Fermi-level density of states = 5.6 states/eV/f.u.; ρ = 7.65 g/cm³
1.0
7.241 0.000 0.000
0.000 7.241 0.000
0.000 0.000 3.615
Pm Co Si
2 8 4
direct
0.000 0.000 0.000 Pm
0.500 0.500 0.500 Pm
0.079 0.349 0.500 Co
0.151 0.579 0.000 Co
0.349 0.079 0.500 Co
0.421 0.849 0.000 Co
0.579 0.151 0.000 Co
0.651 0.921 0.500 Co
0.849 0.421 0.000 Co
0.921 0.651 0.500 Co
0.225 0.775 0.500 Si
0.275 0.275 0.000 Si
0.725 0.725 0.000 Si
0.775 0.225 0.500 Si

The least stable of them is (one).

(one)
PmCo3Si3 (PBE, optimized geometry); Fermi-level density of states = 7.8 states/eV/f.u.; ρ = 5.67 g/cm³
1.0
6.194 0.000 0.000
0.000 6.194 0.000
0.000 0.000 6.194
Pm Co Si
2 6 6
direct
0.000 0.000 0.000 Pm
0.500 0.500 0.500 Pm
0.000 0.250 0.500 Co
0.000 0.750 0.500 Co
0.250 0.500 0.000 Co
0.500 0.000 0.250 Co
0.500 0.000 0.750 Co
0.750 0.500 0.000 Co
0.000 0.500 0.250 Si
0.000 0.500 0.750 Si
0.250 0.000 0.500 Si
0.500 0.250 0.000 Si
0.500 0.750 0.000 Si
0.750 0.000 0.500 Si

(two)
PmCo3Si3 (PBE, optimized geometry); Fermi-level density of states = 7.3 states/eV/f.u.; ρ = 5.93 g/cm³
1.0
3.089 1.783 6.876
-3.089 1.783 6.876
0.000 -3.566 6.876
Pm Co Si
2 6 6
direct
0.170 0.170 0.170 Pm
0.830 0.830 0.830 Pm
0.039 0.581 0.260 Co
0.260 0.039 0.581 Co
0.419 0.740 0.961 Co
0.581 0.260 0.039 Co
0.740 0.961 0.419 Co
0.961 0.419 0.740 Co
0.160 0.679 0.373 Si
0.321 0.627 0.840 Si
0.373 0.160 0.679 Si
0.627 0.840 0.321 Si
0.679 0.373 0.160 Si
0.840 0.321 0.627 Si

The least stable of them is (one).